[1]
{"formula": "NpSnB", "functional": "GGA-PBE", "state": "optimized geometry", "formation_enthalpy_0k_ev_per_atom": 0.034, "cell": [[2.125, -8.207, 0.000], [2.125, 8.207, 0.000], [0.000, 0.000, 3.155]], "species": ["Np", "Np", "Sn", "Sn", "B", "B"], "fractional_positions": [[0.058, 0.942, 0.750], [0.942, 0.058, 0.250], [0.322, 0.678, 0.750], [0.678, 0.322, 0.250], [0.476, 0.524, 0.750], [0.524, 0.476, 0.250]]}


[2]
{"formula": "NpTa2B6", "functional": "GGA-PBE", "state": "optimized geometry", "formation_enthalpy_0k_ev_per_atom": -0.532, "cell": [[5.429, 0.000, 0.000], [-2.715, 4.702, 0.000], [0.000, 0.000, 3.544]], "species": ["Np", "Ta", "Ta", "B", "B", "B", "B", "B", "B"], "fractional_positions": [[0.000, 0.000, 0.000], [0.333, 0.667, 0.000], [0.667, 0.333, 0.000], [0.000, 0.336, 0.500], [0.000, 0.664, 0.500], [0.336, 0.000, 0.500], [0.336, 0.336, 0.500], [0.664, 0.000, 0.500], [0.664, 0.664, 0.500]]}


[3]
{"formula": "NpTaB4", "functional": "GGA-PBE", "state": "optimized geometry", "formation_enthalpy_0k_ev_per_atom": -0.488, "cell": [[6.084, 0.000, 0.000], [0.000, 11.798, 0.000], [0.000, 0.000, 3.646]], "species": ["Np", "Np", "Np", "Np", "Ta", "Ta", "Ta", "Ta", "B", "B", "B", "B", "B", "B", "B", "B", "B", "B", "B", "B", "B", "B", "B", "B"], "fractional_positions": [[0.128, 0.151, 0.000], [0.372, 0.651, 0.000], [0.628, 0.349, 0.000], [0.872, 0.849, 0.000], [0.137, 0.411, 0.000], [0.363, 0.911, 0.000], [0.637, 0.089, 0.000], [0.863, 0.589, 0.000], [0.027, 0.694, 0.500], [0.117, 0.548, 0.500], [0.130, 0.969, 0.500], [0.207, 0.811, 0.500], [0.293, 0.311, 0.500], [0.370, 0.469, 0.500], [0.383, 0.048, 0.500], [0.473, 0.194, 0.500], [0.527, 0.806, 0.500], [0.617, 0.952, 0.500], [0.630, 0.531, 0.500], [0.707, 0.689, 0.500], [0.793, 0.189, 0.500], [0.870, 0.031, 0.500], [0.883, 0.452, 0.500], [0.973, 0.306, 0.500]]}